(1)
{"formula": "Sr3AsN", "functional": "PBE-GGA", "state": "optimized geometry", "lattice": [[7.3746, 0.0000, 0.0000], [0.0000, 10.9888, 0.0000], [0.0000, 0.0000, 7.5819]], "species": ["Sr", "Sr", "Sr", "Sr", "Sr", "Sr", "Sr", "Sr", "Sr", "Sr", "Sr", "Sr", "As", "As", "As", "As", "N", "N", "N", "N"], "fractional_positions": [[0.1392, 0.0898, 0.1423], [0.1392, 0.4102, 0.1423], [0.1788, 0.2500, 0.6680], [0.3212, 0.7500, 0.1680], [0.3608, 0.5898, 0.6423], [0.3608, 0.9102, 0.6423], [0.6392, 0.0898, 0.3577], [0.6392, 0.4102, 0.3577], [0.6788, 0.2500, 0.8320], [0.8212, 0.7500, 0.3320], [0.8608, 0.5898, 0.8577], [0.8608, 0.9102, 0.8577], [0.0000, 0.0000, 0.5000], [0.0000, 0.5000, 0.5000], [0.5000, 0.0000, 0.0000], [0.5000, 0.5000, 0.0000], [0.0007, 0.2500, 0.9701], [0.4993, 0.7500, 0.4701], [0.5007, 0.2500, 0.5299], [0.9993, 0.7500, 0.0299]], "space_group": "Pnma (62)", "e_form_raw_ev_per_atom": -0.678}

***

(2)
{"formula": "Sr3AsN", "functional": "PBE-GGA", "state": "optimized geometry", "lattice": [[6.3819, -2.6529, 0.0000], [6.3819, 2.6529, 0.0000], [-2.1572, 0.0000, 8.3895]], "species": ["Sr", "Sr", "Sr", "Sr", "Sr", "Sr", "As", "As", "N", "N"], "fractional_positions": [[0.0714, 0.0714, 0.1843], [0.1533, 0.1533, 0.6257], [0.3454, 0.3454, 0.0547], [0.6546, 0.6546, 0.9453], [0.8467, 0.8467, 0.3743], [0.9286, 0.9286, 0.8157], [0.4017, 0.4017, 0.6380], [0.5983, 0.5983, 0.3620], [0.1372, 0.1372, 0.9227], [0.8628, 0.8628, 0.0773]], "space_group": "C2/m (12)", "e_form_raw_ev_per_atom": -0.749}

***

(3)
{"formula": "Sr3AsN", "functional": "PBE-GGA", "state": "optimized geometry", "lattice": [[-2.9414, 2.9414, 10.8056], [2.9414, -2.9414, 10.8056], [2.9414, 2.9414, -10.8056]], "species": ["Sr", "Sr", "Sr", "Sr", "Sr", "Sr", "As", "As", "N", "N"], "fractional_positions": [[0.2120, 0.2120, 0.0000], [0.3737, 0.6162, 0.7575], [0.3838, 0.1413, 0.7575], [0.3838, 0.6263, 0.2425], [0.7880, 0.7880, 0.0000], [0.8587, 0.6162, 0.2425], [0.2500, 0.7500, 0.5000], [0.5000, 0.5000, 0.0000], [0.6627, 0.1627, 0.5000], [0.8373, 0.3373, 0.5000]], "space_group": "I-4m2 (119)", "e_form_raw_ev_per_atom": 0.489}

***

(4)
{"formula": "Sr3AsN", "functional": "PBE-GGA", "state": "optimized geometry", "lattice": [[3.5424, 0.0000, 0.0000], [0.0000, 9.4182, 0.0000], [-0.0037, 0.0000, 8.4124]], "species": ["Sr", "Sr", "Sr", "Sr", "Sr", "Sr", "As", "As", "N", "N"], "fractional_positions": [[0.2482, 0.0873, 0.1896], [0.2479, 0.2500, 0.5552], [0.2482, 0.4127, 0.1896], [0.7518, 0.5873, 0.8104], [0.7521, 0.7500, 0.4448], [0.7518, 0.9127, 0.8104], [0.2532, 0.7500, 0.1105], [0.7468, 0.2500, 0.8895], [0.2522, 0.7500, 0.6669], [0.7478, 0.2500, 0.3331]], "space_group": "P2_1/m (11)", "e_form_raw_ev_per_atom": -0.618}

***

(5)
{"formula": "Sr3AsN", "functional": "PBE-GGA", "state": "optimized geometry", "lattice": [[3.7428, 2.1609, 7.1377], [-3.7428, 2.1609, 7.1377], [0.0000, -4.3218, 7.1377]], "species": ["Sr", "Sr", "Sr", "Sr", "Sr", "Sr", "As", "As", "N", "N"], "fractional_positions": [[0.0644, 0.7500, 0.4356], [0.2500, 0.5644, 0.9356], [0.4356, 0.0644, 0.7500], [0.5644, 0.9356, 0.2500], [0.7500, 0.4356, 0.0644], [0.9356, 0.2500, 0.5644], [0.0000, 0.0000, 0.0000], [0.5000, 0.5000, 0.5000], [0.2500, 0.2500, 0.2500], [0.7500, 0.7500, 0.7500]], "space_group": "R-3c (167)", "e_form_raw_ev_per_atom": -0.639}

***

(6)
{"formula": "Sr3AsN", "functional": "PBE-GGA", "state": "optimized geometry", "lattice": [[5.1921, 0.0000, 0.0000], [-0.0001, 5.2351, 0.0000], [-2.5937, -0.0039, 10.4985]], "species": ["Sr", "Sr", "Sr", "Sr", "Sr", "Sr", "As", "As", "N", "N"], "fractional_positions": [[0.0000, 0.0000, 0.0000], [0.1220, 0.5002, 0.2423], [0.2528, 0.9964, 0.5036], [0.4810, 0.5009, 0.9626], [0.6409, 0.0015, 0.2797], [0.8691, 0.4970, 0.7387], [0.4006, 0.0010, 0.8017], [0.7214, 0.5021, 0.4406], [0.1282, 0.0002, 0.2535], [0.9938, 0.5000, 0.9888]], "space_group": "P1 (1)", "e_form_raw_ev_per_atom": -0.810}

***

Q: What is the formula in the third record?
A: Sr3AsN